# 1
First-principles (SCAN) data for MgIr at its PBEsol-relaxed geometry, as listed in the Alexandria database.

Computed properties:
Calculated total energy (eV per atom): -38.3370
DFT formation energy (meV/atom): -301

```
MgIr
1.0
5.140 -1.418 0.000
5.140 1.418 0.000
-1.706 0.000 6.335
Mg Ir
3 3
direct
0.000 0.000 0.000
0.045 0.045 0.568
0.736 0.736 0.933
0.326 0.326 0.647
0.387 0.387 0.265
0.678 0.678 0.315
```

=====

# 2
First-principles (SCAN) data for Mg3Ir at its PBEsol-relaxed geometry, as listed in the Alexandria database.

Computed properties:
Calculated total energy (eV per atom): -21.8034
DFT formation energy (meV/atom): -298

```
Mg3Ir
1.0
5.153 0.000 0.000
0.000 5.153 0.000
0.000 0.000 5.153
Mg Ir
6 2
direct
0.000 0.250 0.500
0.000 0.750 0.500
0.250 0.500 0.000
0.500 0.000 0.250
0.500 0.000 0.750
0.750 0.500 0.000
0.000 0.000 0.000
0.500 0.500 0.500
```

=====

# 3
First-principles (SCAN) data for MgIr3 at its PBEsol-relaxed geometry, as listed in the Alexandria database.

Computed properties:
Calculated total energy (eV per atom): -54.8309
DFT formation energy (meV/atom): -263

```
MgIr3
1.0
4.784 0.000 0.000
0.000 8.892 0.000
0.000 0.000 5.423
Mg Ir
4 12
direct
0.076 0.250 0.128
0.424 0.750 0.628
0.576 0.250 0.372
0.924 0.750 0.872
0.086 0.250 0.633
0.238 0.507 0.379
0.238 0.993 0.379
0.262 0.007 0.879
0.262 0.493 0.879
0.414 0.750 0.133
0.586 0.250 0.867
0.738 0.507 0.121
0.738 0.993 0.121
0.762 0.007 0.621
0.762 0.493 0.621
0.914 0.750 0.367
```

=====

# 4
First-principles (SCAN) data for MgIr3 at its PBEsol-relaxed geometry, as listed in the Alexandria database.

Computed properties:
Calculated total energy (eV per atom): -54.6961
DFT formation energy (meV/atom): -128

```
MgIr3
1.0
5.489 0.000 0.000
-2.744 4.753 0.000
0.000 0.000 4.407
Mg Ir
2 6
direct
0.333 0.667 0.250
0.667 0.333 0.750
0.167 0.335 0.750
0.167 0.833 0.750
0.335 0.167 0.250
0.665 0.833 0.750
0.833 0.167 0.250
0.833 0.665 0.250
```

=====

# 5
First-principles (SCAN) data for MgIr3 at its PBEsol-relaxed geometry, as listed in the Alexandria database.

Computed properties:
Calculated total energy (eV per atom): -54.7435
DFT formation energy (meV/atom): -176

```
MgIr3
1.0
4.443 0.000 0.000
0.000 5.490 0.000
0.000 0.000 4.709
Mg Ir
2 6
direct
0.250 0.250 0.156
0.750 0.750 0.844
0.250 0.503 0.659
0.250 0.750 0.165
0.250 0.997 0.659
0.750 0.003 0.341
0.750 0.250 0.835
0.750 0.497 0.341
```

=====

# 6
First-principles (SCAN) data for Mg13Ir3 at its PBEsol-relaxed geometry, as listed in the Alexandria database.

Computed properties:
Calculated total energy (eV per atom): -17.7061
DFT formation energy (meV/atom): -334

```
Mg13Ir3
1.0
7.988 4.612 2.800
-7.988 4.612 2.800
0.000 -9.224 2.800
Mg Ir
26 6
direct
0.000 0.000 0.500
0.000 0.500 0.000
0.000 0.500 0.500
0.096 0.890 0.778
0.110 0.222 0.904
0.119 0.750 0.381
0.222 0.904 0.110
0.250 0.250 0.250
0.250 0.619 0.881
0.278 0.390 0.596
0.381 0.119 0.750
0.390 0.596 0.278
0.404 0.722 0.610
0.500 0.000 0.000
0.500 0.000 0.500
0.500 0.500 0.000
0.596 0.278 0.390
0.610 0.404 0.722
0.619 0.881 0.250
0.722 0.610 0.404
0.750 0.381 0.119
0.750 0.750 0.750
0.778 0.096 0.890
0.881 0.250 0.619
0.890 0.778 0.096
0.904 0.110 0.222
0.078 0.422 0.250
0.250 0.078 0.422
0.422 0.250 0.078
0.578 0.750 0.922
0.750 0.922 0.578
0.922 0.578 0.750
```

=====

> The highest calculated total energy belongs to which entry?

Mg13Ir3

=====

> Which of these has the highest DFT formation energy?

number 4